Compound: LiYSe2
Source: Alexandria
Functional: PBEsol
Structure: optimized geometry

Cell lengths 4.012, 4.012, 19.142 Å; angles 90.00, 90.00, 120.00 degrees
Element x y z (fractional)
Li1 0.000 0.000 0.000
Li2 0.333 0.667 0.667
Li3 0.667 0.333 0.333
Y1 0.000 0.000 0.500
Y2 0.333 0.667 0.167
Y3 0.667 0.333 0.833
Se1 0.000 0.000 0.252
Se2 0.000 0.000 0.748
Se3 0.333 0.667 0.415
Se4 0.333 0.667 0.919
Se5 0.667 0.333 0.081
Se6 0.667 0.333 0.585

Summary:
Space-group type: R-3m (166)
Raw formation energy in eV per atom: -1.723

Compound: IrRh2Br2
Source: Alexandria
Functional: PBEsol
Structure: optimized geometry

Cell lengths 3.434, 3.434, 15.073 Å; angles 90.00, 90.00, 90.00 degrees
Element x y z (fractional)
Ir1 0.000 0.000 0.000
Ir2 0.500 0.500 0.500
Rh1 0.000 0.500 0.250
Rh2 0.000 0.500 0.750
Rh3 0.500 0.000 0.250
Rh4 0.500 0.000 0.750
Br1 0.000 0.000 0.397
Br2 0.000 0.000 0.603
Br3 0.500 0.500 0.103
Br4 0.500 0.500 0.897

Summary:
Space-group type: I4/mmm (139)
Raw formation energy in eV per atom: 1.175

Compound: Be2AsH9O9
Source: Alexandria
Functional: PBEsol
Structure: optimized geometry

Cell lengths 8.472, 12.594, 7.063 Å; angles 90.00, 98.58, 90.00 degrees
Element x y z (fractional)
Be1 0.103 0.125 0.344
Be2 0.103 0.375 0.844
Be3 0.366 0.120 0.127
Be4 0.366 0.380 0.627
Be5 0.634 0.620 0.373
Be6 0.634 0.880 0.873
Be7 0.897 0.625 0.156
Be8 0.897 0.875 0.656
As1 0.242 0.173 0.736
As2 0.242 0.327 0.236
As3 0.758 0.673 0.764
As4 0.758 0.827 0.264
H1 0.072 0.687 0.622
H2 0.072 0.813 0.122
H3 0.116 0.519 0.169
H4 0.116 0.981 0.669
H5 0.125 0.598 0.363
H6 0.125 0.902 0.863
H7 0.200 0.504 0.680
H8 0.200 0.996 0.180
H9 0.242 0.709 0.551
H10 0.242 0.791 0.051
H11 0.280 0.666 0.845
H12 0.280 0.834 0.345
H13 0.404 0.613 0.151
H14 0.404 0.887 0.651
H15 0.408 0.512 0.313
H16 0.408 0.988 0.813
H17 0.450 0.715 0.923
H18 0.450 0.785 0.423
H19 0.550 0.215 0.577
H20 0.550 0.285 0.077
H21 0.592 0.012 0.187
H22 0.592 0.488 0.687
H23 0.596 0.113 0.349
H24 0.596 0.387 0.849
H25 0.720 0.166 0.655
H26 0.720 0.334 0.155
H27 0.758 0.209 0.949
H28 0.758 0.291 0.449
H29 0.800 0.004 0.820
H30 0.800 0.496 0.320
H31 0.875 0.098 0.137
H32 0.875 0.402 0.637
H33 0.884 0.019 0.331
H34 0.884 0.481 0.831
H35 0.928 0.187 0.878
H36 0.928 0.313 0.378
O1 0.083 0.589 0.223
O2 0.083 0.911 0.723
O3 0.102 0.246 0.830
O4 0.102 0.254 0.330
O5 0.146 0.088 0.568
O6 0.146 0.412 0.068
O7 0.174 0.652 0.600
O8 0.174 0.848 0.100
O9 0.219 0.071 0.214
O10 0.219 0.429 0.714
O11 0.345 0.089 0.899
O12 0.345 0.411 0.399
O13 0.346 0.692 0.965
O14 0.346 0.808 0.465
O15 0.377 0.249 0.146
O16 0.377 0.251 0.646
O17 0.459 0.580 0.275
O18 0.459 0.920 0.775
O19 0.541 0.080 0.225
O20 0.541 0.420 0.725
O21 0.623 0.749 0.354
O22 0.623 0.751 0.854
O23 0.654 0.192 0.535
O24 0.654 0.308 0.035
O25 0.655 0.589 0.601
O26 0.655 0.911 0.101
O27 0.781 0.571 0.286
O28 0.781 0.929 0.786
O29 0.826 0.152 0.900
O30 0.826 0.348 0.400
O31 0.854 0.588 0.932
O32 0.854 0.912 0.432
O33 0.898 0.746 0.670
O34 0.898 0.754 0.170
O35 0.917 0.089 0.277
O36 0.917 0.411 0.777

Summary:
Space-group type: P2_1/c (14)
VASP energy in eV for the cell shown: -480.09

Compound: CrI3
Source: Alexandria
Functional: PBEsol
Structure: optimized geometry

Cell lengths 6.816, 6.816, 19.997 Å; angles 90.00, 90.00, 120.00 degrees
Element x y z (fractional)
Cr1 0.104 0.209 0.167
Cr2 0.104 0.896 0.833
Cr3 0.124 0.562 0.500
Cr4 0.438 0.562 0.833
Cr5 0.438 0.876 0.167
Cr6 0.791 0.896 0.500
I1 0.103 0.229 0.423
I2 0.103 0.874 0.577
I3 0.125 0.543 0.244
I4 0.125 0.583 0.756
I5 0.126 0.229 0.910
I6 0.126 0.897 0.090
I7 0.417 0.188 0.244
I8 0.417 0.229 0.756
I9 0.417 0.543 0.090
I10 0.417 0.875 0.910
I11 0.457 0.583 0.577
I12 0.457 0.875 0.423
I13 0.771 0.188 0.089
I14 0.771 0.583 0.911
I15 0.771 0.874 0.756
I16 0.771 0.897 0.244
I17 0.812 0.229 0.577
I18 0.812 0.583 0.423

Summary:
Space-group type: P3_112 (151)
Raw formation energy in eV per atom: -0.369

Compound: HgIrRu
Source: Alexandria
Functional: PBEsol
Structure: optimized geometry

Cell lengths 2.752, 4.831, 14.364 Å; angles 90.00, 90.00, 90.00 degrees
Element x y z (fractional)
Hg1 0.000 0.000 0.000
Hg2 0.000 0.500 0.500
Hg3 0.500 0.000 0.500
Hg4 0.500 0.500 0.000
Ir1 0.000 0.000 0.324
Ir2 0.000 0.500 0.824
Ir3 0.500 0.000 0.824
Ir4 0.500 0.500 0.324
Ru1 0.000 0.000 0.673
Ru2 0.000 0.500 0.173
Ru3 0.500 0.000 0.173
Ru4 0.500 0.500 0.673

Summary:
Space-group type: Fmm2 (42)
Energy of formation from the pure elements in meV/atom: 549.4

Compound: BeIr3O
Source: Alexandria
Functional: PBEsol
Structure: optimized geometry

Cell lengths 4.026, 4.026, 4.026 Å; angles 90.00, 90.00, 90.00 degrees
Element x y z (fractional)
Be1 0.000 0.000 0.000
Ir1 0.000 0.500 0.500
Ir2 0.500 0.000 0.500
Ir3 0.500 0.500 0.000
O1 0.500 0.500 0.500

Summary:
Space-group type: Pm-3m (221)
Raw formation energy in eV per atom: 0.867

Compound: CuPt
Source: Alexandria
Functional: PBEsol
Structure: optimized geometry

Cell lengths 7.885, 2.699, 8.019 Å; angles 90.00, 110.10, 90.00 degrees
Element x y z (fractional)
Cu1 0.000 0.000 0.000
Cu2 0.000 0.000 0.311
Cu3 0.238 0.500 0.230
Cu4 0.243 0.500 0.910
Cu5 0.493 0.000 0.825
Cu6 0.752 0.500 0.074
Pt1 0.001 0.000 0.668
Pt2 0.243 0.500 0.570
Pt3 0.488 0.000 0.140
Pt4 0.491 0.000 0.484
Pt5 0.747 0.500 0.758
Pt6 0.753 0.500 0.395

Summary:
Space-group type: Pm (6)
Energy of formation from the pure elements in meV/atom: -90.6

Compound: ScFePS2
Source: Alexandria
Functional: PBEsol
Structure: optimized geometry

Cell lengths 4.549, 4.549, 4.060 Å; angles 90.00, 90.00, 90.00 degrees
Element x y z (fractional)
Sc1 0.000 0.000 0.000
Fe1 0.500 0.500 0.500
P1 0.500 0.500 0.000
S1 0.000 0.500 0.500
S2 0.500 0.000 0.500

Summary:
Space-group type: P4/mmm (123)
Raw formation energy in eV per atom: -0.297